1.
## Cu6AgPt (PBE)

Data for a geometry-optimized Cu6AgPt structure.

Cell lengths 3.7669, 3.7669, 7.4364 Å; angles 90.00, 90.00, 90.00 degrees
Closest atoms and distances in Å follow each position.
Positions (direct):
Cu  0.0000  0.0000  0.0000  8 Cu 2.62, 4 Pt 2.66
Cu  0.0000  0.0000  0.5000  4 Ag 2.66, 8 Cu 2.67
Cu  0.0000  0.5000  0.2453  8 Cu 2.62-2.67, 2 Pt 2.62, 2 Ag 2.67
Cu  0.0000  0.5000  0.7547  8 Cu 2.62-2.67, 2 Pt 2.62, 2 Ag 2.67
Cu  0.5000  0.0000  0.2453  8 Cu 2.62-2.67, 2 Pt 2.62, 2 Ag 2.67
Cu  0.5000  0.0000  0.7547  8 Cu 2.62-2.67, 2 Pt 2.62, 2 Ag 2.67
Ag  0.5000  0.5000  0.5000  12 Cu 2.66-2.67
Pt  0.5000  0.5000  0.0000  12 Cu 2.62-2.66

- Energy of formation: -42 meV per atom

2.
## Cu2AgPt (PBE)

Data for a geometry-optimized Cu2AgPt structure.

Cell lengths 2.7521, 4.1988, 5.1838 Å; angles 90.00, 105.00, 90.00 degrees
Closest atoms and distances in Å follow each position.
Positions (direct):
Cu  0.0000  0.0000  0.0000  4 Cu 2.49-2.75, 3 Pt 2.68-2.71, 4 Ag 2.72-2.73
Cu  0.1329  0.5000  0.2688  4 Cu 2.49-2.75, 3 Ag 2.60-2.78, 4 Pt 2.70
Ag  0.3953  0.5000  0.7885  7 Cu 2.60-2.78, 2 Ag 2.75
Pt  0.7293  0.0000  0.4656  7 Cu 2.68-2.71, 2 Pt 2.75, 4 Ag 2.98-3.00

- Energy of formation: -9 meV per atom
- Offset from the most stable computed form: 57 meV per atom

3.
## CuAgPt (PBE)

Data for a geometry-optimized CuAgPt structure.

Cell lengths 5.0435, 5.0435, 13.5530 Å; angles 90.00, 90.00, 120.00 degrees
Closest atoms and distances in Å follow each position.
Positions (direct):
Cu  0.0000  0.5000  0.3365  2 Ag 2.52, 2 Cu 2.52, 4 Pt 2.67-2.68
Cu  0.0000  0.5000  0.9968  2 Ag 2.52, 2 Cu 2.52, 4 Pt 2.67-2.68
Cu  0.5000  0.0000  0.3302  2 Ag 2.52, 2 Cu 2.52, 4 Pt 2.67-2.68
Cu  0.5000  0.0000  0.6698  2 Ag 2.52, 2 Cu 2.52, 4 Pt 2.67-2.68
Cu  0.5000  0.5000  0.0032  2 Ag 2.52, 2 Cu 2.52, 4 Pt 2.67-2.68
Cu  0.5000  0.5000  0.6635  2 Ag 2.52, 2 Cu 2.52, 4 Pt 2.67-2.68
Ag  0.0000  0.0000  0.1667  6 Pt 2.88-2.99
Ag  0.0000  0.0000  0.5000  6 Pt 2.88-2.99
Ag  0.0000  0.0000  0.8333  6 Pt 2.88-2.99
Ag  0.0000  0.5000  0.6667  4 Cu 2.52, 4 Pt 2.71
Ag  0.5000  0.0000  0.0000  4 Cu 2.52, 4 Pt 2.71
Ag  0.5000  0.5000  0.3333  4 Cu 2.52, 4 Pt 2.71
Pt  0.3165  0.6583  0.1667  4 Cu 2.67-2.68, 5 Ag 2.71-2.99, 3 Pt 2.76-2.99
Pt  0.3417  0.6583  0.8333  4 Cu 2.67-2.68, 5 Ag 2.71-2.99, 3 Pt 2.76-2.99
Pt  0.3417  0.6835  0.5000  4 Cu 2.67-2.68, 5 Ag 2.71-2.99, 3 Pt 2.76-2.99
Pt  0.6583  0.3165  0.5000  4 Cu 2.67-2.68, 5 Ag 2.71-2.99, 3 Pt 2.76-2.99
Pt  0.6583  0.3417  0.8333  4 Cu 2.67-2.68, 5 Ag 2.71-2.99, 3 Pt 2.76-2.99
Pt  0.6835  0.3417  0.1667  4 Cu 2.67-2.68, 5 Ag 2.71-2.99, 3 Pt 2.76-2.99

- Energy of formation: 96 meV per atom
- Offset from the most stable computed form: 121 meV per atom

4.
## Cu10AgPt4 (PBE)

Data for a geometry-optimized Cu10AgPt4 structure.

Cell lengths 6.7892, 6.7892, 4.9752 Å; angles 99.60, 99.60, 64.41 degrees
Closest atoms and distances in Å follow each position.
Positions (direct):
Cu  0.0372  0.3716  0.7971  4 Cu 2.40-2.60
Cu  0.1691  0.8309  0.0000  3 Cu 2.42-2.45
Cu  0.2325  0.5631  0.6009  4 Cu 2.39-2.60
Cu  0.3716  0.0372  0.7971  4 Cu 2.40-2.60
Cu  0.4369  0.7675  0.3991  4 Cu 2.39-2.60
Cu  0.5631  0.2325  0.6009  4 Cu 2.39-2.60
Cu  0.6284  0.9628  0.2029  4 Cu 2.40-2.60
Cu  0.7675  0.4369  0.3991  4 Cu 2.39-2.60
Cu  0.8309  0.1691  0.0000  3 Cu 2.42-2.45
Cu  0.9628  0.6284  0.2029  4 Cu 2.40-2.60
Ag  0.0000  0.0000  0.5000  2 Pt 2.68, 12 Cu 2.77-2.79
Pt  0.1984  0.1984  0.2920  1 Pt 2.67, 1 Ag 2.68, 12 Cu 2.73-2.78
Pt  0.4015  0.4015  0.1058  2 Pt 2.67-2.68, 12 Cu 2.74-2.78
Pt  0.5985  0.5985  0.8942  2 Pt 2.67-2.68, 12 Cu 2.74-2.78
Pt  0.8016  0.8016  0.7080  1 Pt 2.67, 1 Ag 2.68, 12 Cu 2.73-2.78

- Energy of formation: -50 meV per atom

5.
## CuAgPt (PBE)

Data for a geometry-optimized CuAgPt structure.

Cell lengths 4.3981, 4.3981, 2.7682 Å; angles 90.00, 90.00, 120.00 degrees
Closest atoms and distances in Å follow each position.
Positions (direct):
Cu  0.0000  0.0000  0.0000  3 Pt 2.58, 3 Ag 2.74, 2 Cu 2.77
Ag  0.3333  0.6667  0.6263  3 Cu 2.74, 2 Ag 2.77, 6 Pt 2.84-2.95
Pt  0.6667  0.3333  0.1696  3 Cu 2.58, 2 Pt 2.77, 3 Ag 2.84

- Energy of formation: 32 meV per atom
- Offset from the most stable computed form: 58 meV per atom

6.
## Cu2AgPt (PBE)

Data for a geometry-optimized Cu2AgPt structure.

Cell lengths 2.9511, 4.3577, 4.5626 Å; angles 90.00, 90.00, 90.00 degrees
Closest atoms and distances in Å follow each position.
Positions (direct):
Cu  0.0000  0.0000  0.0000  4 Pt 2.63, 4 Cu 2.72
Cu  0.5000  0.0000  0.5000  4 Ag 2.63, 4 Cu 2.72
Ag  0.0000  0.5000  0.5000  4 Cu 2.63, 4 Pt 2.72
Pt  0.5000  0.5000  0.0000  4 Cu 2.63, 4 Ag 2.72

- Energy of formation: 56 meV per atom
- Offset from the most stable computed form: 122 meV per atom

7.
## CuAgPt (PBE)

Data for a geometry-optimized CuAgPt structure.

Cell lengths 4.1796, 4.1796, 4.1796 Å; angles 60.00, 60.00, 60.00 degrees
Closest atoms and distances in Å follow each position.
Positions (direct):
Cu  0.0000  0.0000  0.0000  4 Pt 2.56, 4 Ag 2.56
Ag  0.7500  0.7500  0.7500  4 Cu 2.56
Pt  0.2500  0.2500  0.2500  4 Cu 2.56

- Energy of formation: 249 meV per atom
- Offset from the most stable computed form: 275 meV per atom

8.
## CuAgPt (PBE)

Data for a geometry-optimized CuAgPt structure.

Cell lengths 5.9327, 5.9327, 5.9327 Å; angles 152.16, 152.16, 39.78 degrees
Closest atoms and distances in Å follow each position.
Positions (direct):
Cu  0.0000  0.0000  0.0000  4 Pt 2.62, 4 Ag 2.73, 4 Cu 2.85
Ag  0.6650  0.6650  0.0000  4 Cu 2.73, 4 Ag 2.85, 4 Pt 2.89
Pt  0.3502  0.3502  0.0000  4 Cu 2.62, 4 Pt 2.85, 4 Ag 2.89

- Energy of formation: -21 meV per atom
- Offset from the most stable computed form: 4 meV per atom